1.
{
  "formula": "SrSnHPd2",
  "functional": "PBE",
  "state": "optimized geometry",
  "lattice": [[5.3614, 0.0000, 0.0000], [0.0000, 5.3614, 0.0000], [0.0000, 0.0000, 3.8869]],
  "species": ["Sr", "Sn", "H", "Pd", "Pd"],
  "frac_coords": [[0.0000, 0.0000, 0.0000], [0.5000, 0.5000, 0.5000], [0.0000, 0.0000, 0.5000], [0.0000, 0.5000, 0.0000], [0.5000, 0.0000, 0.0000]],
  "relative_energy_mev_per_atom": 1063,
  "volume_a3_per_cell": 111.7,
  "sg": "No. 123"
}

---

2.
{
  "formula": "Sr2SnHPd6",
  "functional": "PBE",
  "state": "optimized geometry",
  "lattice": [[5.1470, -2.9705, 0.0000], [5.1470, 2.9705, 0.0000], [-3.3975, 0.0000, 6.2339]],
  "species": ["Sr", "Sr", "Sn", "H", "Pd", "Pd", "Pd", "Pd", "Pd", "Pd"],
  "frac_coords": [[0.2271, 0.2271, 0.1794], [0.7729, 0.7729, 0.8206], [0.5000, 0.5000, 0.0000], [0.0000, 0.0000, 0.5000], [0.2234, 0.7260, 0.6754], [0.2247, 0.2247, 0.6762], [0.2740, 0.7766, 0.3246], [0.7260, 0.2234, 0.6754], [0.7753, 0.7753, 0.3238], [0.7766, 0.2740, 0.3246]],
  "energy_ev_per_atom": -4.747,
  "volume_a3_per_cell": 190.6,
  "sg": "No. 12"
}

---

3.
{
  "formula": "TaSn2HPd",
  "functional": "PBE",
  "state": "optimized geometry",
  "lattice": [[5.4458, 0.0000, 0.0000], [0.0000, 5.4458, 0.0000], [0.0000, 0.0000, 3.4434]],
  "species": ["Ta", "Sn", "Sn", "H", "Pd"],
  "frac_coords": [[0.0000, 0.0000, 0.0000], [0.0000, 0.5000, 0.0000], [0.5000, 0.0000, 0.0000], [0.0000, 0.0000, 0.5000], [0.5000, 0.5000, 0.5000]],
  "relative_energy_mev_per_atom": 0,
  "volume_a3_per_cell": 102.1,
  "sg": "No. 123"
}

---

4.
{
  "formula": "Ta2SnHPd",
  "functional": "PBE",
  "state": "optimized geometry",
  "lattice": [[4.0254, 0.0000, 0.0000], [0.0000, 4.0254, 0.0000], [0.0000, 0.0000, 4.5732]],
  "species": ["Ta", "Ta", "Sn", "H", "Pd"],
  "frac_coords": [[0.0000, 0.5000, 0.0000], [0.5000, 0.0000, 0.0000], [0.0000, 0.0000, 0.5000], [0.5000, 0.5000, 0.0000], [0.5000, 0.5000, 0.5000]],
  "energy_ev_per_atom": -7.410,
  "volume_a3_per_cell": 74.1,
  "sg": "No. 123"
}

---

5.
{
  "formula": "TaSn2HPd",
  "functional": "PBE",
  "state": "optimized geometry",
  "lattice": [[5.0832, 0.0000, 0.0000], [0.0000, 5.0832, 0.0000], [0.0000, 0.0000, 5.0158]],
  "species": ["Ta", "Sn", "Sn", "H", "Pd"],
  "frac_coords": [[0.0000, 0.0000, 0.0000], [0.0000, 0.5000, 0.5000], [0.5000, 0.0000, 0.5000], [0.5000, 0.5000, 0.0000], [0.0000, 0.0000, 0.5000]],
  "relative_energy_mev_per_atom": 858,
  "volume_a3_per_cell": 129.6,
  "sg": "No. 123"
}

---

6.
{
  "formula": "Tb2SnHPd6",
  "functional": "PBE",
  "state": "optimized geometry",
  "lattice": [[5.6793, 0.0000, 0.0000], [2.7875, 4.9586, 0.0000], [2.7972, 1.5649, 6.3037]],
  "species": ["Tb", "Tb", "Sn", "H", "Pd", "Pd", "Pd", "Pd", "Pd", "Pd"],
  "frac_coords": [[0.2461, 0.2542, 0.3046], [0.7539, 0.7458, 0.6954], [0.5000, 0.5000, 0.5000], [0.0000, 0.0000, 0.0000], [0.1952, 0.6861, 0.8517], [0.2152, 0.2050, 0.7725], [0.3047, 0.8090, 0.1558], [0.6953, 0.1910, 0.8442], [0.7848, 0.7950, 0.2275], [0.8048, 0.3139, 0.1483]],
  "energy_ev_per_atom": -5.445,
  "volume_a3_per_cell": 177.5,
  "sg": "No. 2"
}

---

7.
{
  "formula": "TcSnHPd2",
  "functional": "PBE",
  "state": "optimized geometry",
  "lattice": [[4.0082, 0.0000, 0.0000], [0.0000, 4.0082, 0.0000], [0.0000, 0.0000, 4.2086]],
  "species": ["Tc", "Sn", "H", "Pd", "Pd"],
  "frac_coords": [[0.0000, 0.0000, 0.0000], [0.5000, 0.5000, 0.0000], [0.0000, 0.0000, 0.5000], [0.0000, 0.5000, 0.5000], [0.5000, 0.0000, 0.5000]],
  "energy_ev_per_atom": -5.719,
  "volume_a3_per_cell": 67.6,
  "sg": "No. 123"
}

---

8.
{
  "formula": "TiSnHPd2",
  "functional": "PBE",
  "state": "optimized geometry",
  "lattice": [[4.0516, 0.0000, 0.0000], [0.0000, 4.0516, 0.0000], [0.0000, 0.0000, 4.2768]],
  "species": ["Ti", "Sn", "H", "Pd", "Pd"],
  "frac_coords": [[0.0000, 0.0000, 0.0000], [0.5000, 0.5000, 0.0000], [0.0000, 0.0000, 0.5000], [0.0000, 0.5000, 0.5000], [0.5000, 0.0000, 0.5000]],
  "energy_ev_per_atom": -5.511,
  "volume_a3_per_cell": 70.2,
  "sg": "No. 123"
}

---

9.
{
  "formula": "Tl2SnHPd6",
  "functional": "PBE",
  "state": "optimized geometry",
  "lattice": [[4.9286, -2.8456, 0.0000], [4.9286, 2.8456, 0.0000], [-3.2757, 0.0000, 6.5530]],
  "species": ["Tl", "Tl", "Sn", "H", "Pd", "Pd", "Pd", "Pd", "Pd", "Pd"],
  "frac_coords": [[0.2429, 0.2429, 0.2301], [0.7571, 0.7571, 0.7699], [0.0000, 0.0000, 0.5000], [0.5000, 0.5000, 0.0000], [0.2264, 0.7260, 0.1803], [0.2734, 0.2734, 0.8184], [0.2740, 0.7736, 0.8197], [0.7260, 0.2264, 0.1803], [0.7266, 0.7266, 0.1816], [0.7736, 0.2740, 0.8197]],
  "energy_ev_per_atom": -4.527,
  "volume_a3_per_cell": 183.8,
  "sg": "No. 12"
}

---

10.
{
  "formula": "V2SnHPd",
  "functional": "PBE",
  "state": "optimized geometry",
  "lattice": [[3.8323, 0.0000, 0.0000], [0.0000, 3.8323, 0.0000], [0.0000, 0.0000, 4.4002]],
  "species": ["V", "V", "Sn", "H", "Pd"],
  "frac_coords": [[0.0000, 0.5000, 0.0000], [0.5000, 0.0000, 0.0000], [0.0000, 0.0000, 0.5000], [0.5000, 0.5000, 0.0000], [0.5000, 0.5000, 0.5000]],
  "energy_ev_per_atom": -6.341,
  "volume_a3_per_cell": 64.6,
  "sg": "No. 123"
}

---

11.
{
  "formula": "Y2SnHPd6",
  "functional": "PBE",
  "state": "optimized geometry",
  "lattice": [[5.6759, 0.0000, 0.0000], [2.7797, 4.9613, 0.0000], [2.8100, 1.5764, 6.2946]],
  "species": ["Y", "Y", "Sn", "H", "Pd", "Pd", "Pd", "Pd", "Pd", "Pd"],
  "frac_coords": [[0.2439, 0.2530, 0.3080], [0.7561, 0.7470, 0.6920], [0.5000, 0.5000, 0.5000], [0.0000, 0.0000, 0.0000], [0.1962, 0.6854, 0.8519], [0.2159, 0.2045, 0.7738], [0.3034, 0.8089, 0.1568], [0.6966, 0.1911, 0.8432], [0.7841, 0.7955, 0.2262], [0.8038, 0.3146, 0.1481]],
  "energy_ev_per_atom": -5.806,
  "volume_a3_per_cell": 177.3,
  "sg": "No. 2"
}

---

12.
{
  "formula": "Y2SnHPd",
  "functional": "PBE",
  "state": "optimized geometry",
  "lattice": [[4.9662, 0.0000, 0.0000], [0.0000, 4.9662, 0.0000], [0.0000, 0.0000, 3.9756]],
  "species": ["Y", "Y", "Sn", "H", "Pd"],
  "frac_coords": [[0.0000, 0.5000, 0.0000], [0.5000, 0.0000, 0.0000], [0.0000, 0.0000, 0.5000], [0.5000, 0.5000, 0.0000], [0.5000, 0.5000, 0.5000]],
  "energy_ev_per_atom": -5.773,
  "volume_a3_per_cell": 98.1,
  "sg": "No. 123"
}

---

Number 1: theoretical density 6.24 Mg/m³. Number 2: theoretical density 8.13 Mg/m³. Number 3: theoretical density 8.55 Mg/m³. Number 4: theoretical density 13.18 Mg/m³. Number 5: theoretical density 6.74 Mg/m³. Number 6: theoretical density 10.07 Mg/m³. Number 7: theoretical density 10.57 Mg/m³. Number 8: theoretical density 9.00 Mg/m³. Number 9: theoretical density 10.54 Mg/m³. Number 10: theoretical density 8.43 Mg/m³. Number 11: theoretical density 8.77 Mg/m³. Number 12: theoretical density 6.84 Mg/m³.